(1)
Here is a PBEsol-optimized structure of CsSr2ScP from the Alexandria database. Energies are from SCAN.

Calculated values
Magnetization, Bohr magnetons per cell: 0.00
DFT total energy, eV/cell: -100.4
SG: P4/mmm, No. 123
DFT formation energy, eV/atom: 1.313

Structure (POSCAR):
```
CsSr2ScP
1.0
5.108 0.000 0.000
0.000 5.883 0.000
0.000 0.000 5.883
Sc P Sr Cs
1 1 2 1
Cartesian
2.554 0.000 0.000 Sc
2.554 2.942 2.942 P
0.000 0.000 2.942 Sr
0.000 2.942 0.000 Sr
0.000 0.000 0.000 Cs
```

(2)
Here is a PBEsol-optimized structure of ZrSi2Br from the Alexandria database. Energies are from SCAN.

Calculated values
Magnetization, Bohr magnetons per cell: 0.00
DFT total energy, eV/cell: -70.1
Energy above the lowest structure with this stoichiometry, eV/f.u.: 1.05
SG: P4/mmm, No. 123

Structure (POSCAR):
```
ZrSi2Br
1.0
-0.110 -2.395 -2.871
1.219 -2.742 2.240
-5.015 -1.232 1.219
Br Zr Si
1 1 2
Cartesian
-1.953 -3.184 0.294 Br
0.554 -2.568 -0.316 Zr
-3.874 -0.952 0.942 Si
-1.140 -0.280 0.277 Si
```

no.,V (Å³/cell)
1,176.80
2,74.31